# 1
The following is a DFT calculation (meta-GGA SCAN) of Nd at its PBEsol-relaxed geometry.

```
Nd
1.0
-3.5092 -0.8238 0.2591
2.3568 -2.4792 -1.1660
1.6533 -3.5907 10.9764
Nd
4
direct
0.0000 0.0000 0.5000
0.0000 0.0000 0.0000
0.3333 0.6667 0.2500
0.6667 0.3333 0.7500
```

Computed properties:
**Size of the total moment**: 0.01 μB per formula unit
**DFT formation energy**: 0.0 meV per atom
**Relative energy among the computed polymorphs**: 0.0 meV/atom
**Electronic total energy**: -43.582 eV per atom
**V**: 132.0 Å³/cell

# 2
The following is a DFT calculation (meta-GGA SCAN) of Nd at its PBEsol-relaxed geometry.

```
Nd
1.0
-0.8223 2.0799 -2.8299
-2.3801 -0.4273 2.6763
2.2735 4.6625 2.7663
Nd
2
direct
0.3333 0.6667 0.2500
0.6667 0.3333 0.7500
```

Computed properties:
**Size of the total moment**: 0.06 μB per formula unit
**DFT formation energy**: 28.7 meV per atom
**Relative energy among the computed polymorphs**: 28.7 meV/atom
**Electronic total energy**: -43.553 eV per atom
**V**: 66.2 Å³/cell

# 3
The following is a DFT calculation (meta-GGA SCAN) of Nd at its PBEsol-relaxed geometry.

```
Nd
1.0
3.6233 0.0000 0.0000
1.8116 3.1378 0.0000
1.8116 1.0459 8.7302
Nd
3
direct
0.0000 0.0000 0.0000
0.2229 0.2229 0.3314
0.7771 0.7771 0.6686
```

Computed properties:
**Size of the total moment**: 0.00 μB per formula unit
**DFT formation energy**: 5.3 meV per atom
**Relative energy among the computed polymorphs**: 5.3 meV/atom
**Electronic total energy**: -43.577 eV per atom
**V**: 99.3 Å³/cell

# 4
The following is a DFT calculation (meta-GGA SCAN) of Nd at its PBEsol-relaxed geometry.

```
Nd
1.0
-2.7399 -1.6593 -1.6420
-0.1649 -3.5956 -0.0368
-2.4987 -1.7071 1.9491
Nd
1
direct
0.5000 0.5000 0.5000
```

Computed properties:
**Size of the total moment**: 0.00 μB per formula unit
**DFT formation energy**: 11.9 meV per atom
**Relative energy among the computed polymorphs**: 11.9 meV/atom
**Electronic total energy**: -43.570 eV per atom
**V**: 33.0 Å³/cell